TlVPO2: relaxed, PBE with a Hubbard U.

Output
The value obtained for the density of states at the Fermi level is 2.222 states/eV/cell. The total moment is 0.110 μB/atom. Its energy above the lowest structure with this stoichiometry is 0 meV per atom. The calculation puts the volume at 15.0 A^3/atom.

Lattice parameters (Å, degrees): 3.800 3.800 5.198 90.00 90.00 90.00
Positions (direct):
Tl1 0.000 0.000 0.000
V1 0.500 0.500 0.500
P1 0.500 0.500 0.000
O1 0.000 0.500 0.500
O2 0.500 0.000 0.500